Below is a relaxed structure of ThAl2Tc, with properties calculated at the PBE level.

- Offset from the most stable computed form: 0.42 eV per formula unit
- Total moment: 0.000 μB/atom
- Space-group type: P4/mmm, No. 123

Geometry as extended XYZ:
```
4
Lattice="3.256 0.000 0.000 0.000 3.256 0.000 0.000 0.000 7.217" Properties=species:S:1:pos:R:3 pbc="T T T"
Th 0.000 0.000 0.000
Al 1.628 1.628 2.308
Al 1.628 1.628 4.909
Tc 0.000 0.000 3.609
```